[1]
## Cs5Na6UP5S20 (PBE)

Data for a relaxed Cs5Na6UP5S20 crystal.

Cell: 16.927 24.466 9.945 Å, 90.00 90.00 90.00°
Space group Ama2 (No. 40)
One atom of each set of equivalent atoms:
1 Cs 0.029 0.197 0.000 (multiplicity 8)
2 Cs 0.250 0.020 0.807 (multiplicity 4)
3 Cs 0.250 0.297 0.376 (multiplicity 4)
4 Cs 0.250 0.458 0.704 (multiplicity 4)
5 Na 0.000 0.000 0.003 (multiplicity 4)
6 Na 0.115 0.162 0.606 (multiplicity 8)
7 Na 0.119 0.340 0.933 (multiplicity 8)
8 Na 0.250 0.157 0.111 (multiplicity 4)
9 U 0.000 0.000 0.507 (multiplicity 4)
10 P 0.070 0.399 0.241 (multiplicity 8)
11 P 0.094 0.094 0.280 (multiplicity 8)
12 P 0.250 0.244 0.793 (multiplicity 4)
13 S 0.026 0.424 0.801 (multiplicity 8)
14 S 0.042 0.068 0.725 (multiplicity 8)
15 S 0.063 0.318 0.194 (multiplicity 8)
16 S 0.114 0.411 0.429 (multiplicity 8)
17 S 0.116 0.174 0.319 (multiplicity 8)
18 S 0.129 0.074 0.090 (multiplicity 8)
19 S 0.135 0.440 0.096 (multiplicity 8)
20 S 0.144 0.044 0.423 (multiplicity 8)
21 S 0.150 0.274 0.703 (multiplicity 8)
22 S 0.250 0.160 0.783 (multiplicity 4)
23 S 0.250 0.267 0.992 (multiplicity 4)

Properties
Mass density in g/cm3: 3.0
E in Ry/atom: -0.3330

[2]
## AcAl2Pt (PBE)

Data for a relaxed AcAl2Pt crystal.

Cell: 4.261 7.296 6.245 Å, 90.00 109.85 90.00°
Space group P2_1/m (No. 11)
One atom of each set of equivalent atoms:
1 Ac 0.054 0.250 0.107 (multiplicity 2)
2 Al 0.327 0.060 0.654 (multiplicity 4)
3 Pt 0.222 0.750 0.444 (multiplicity 2)

Properties
Mass density in g/cm3: 8.7
E in Ry/atom: -0.3892

[3]
## NdZn8Cu4 (PBE)

Data for a relaxed NdZn8Cu4 crystal.

Cell: 8.876 8.876 4.935 Å, 90.00 90.00 90.00°
Space group I4/mmm (No. 139)
One atom of each set of equivalent atoms:
1 Nd 0.000 0.000 0.000 (multiplicity 2)
2 Zn 0.000 0.223 0.500 (multiplicity 8)
3 Zn 0.000 0.350 0.000 (multiplicity 8)
4 Cu 0.250 0.250 0.250 (multiplicity 8)

Properties
Mass density in g/cm3: 7.9
Formation energy in eV per atom: -0.202
E in Ry/atom: -0.1831

[4]
## Pr2YPdPt2Pb3 (PBE)

Data for a relaxed Pr2YPdPt2Pb3 crystal.

Cell: 4.117 13.516 7.845 Å, 90.00 90.00 90.00°
Space group Amm2 (No. 38)
One atom of each set of equivalent atoms:
1 Pr 0.000 0.206 0.000 (multiplicity 4)
2 Y 0.000 0.000 0.384 (multiplicity 2)
3 Pd 0.000 0.000 0.788 (multiplicity 2)
4 Pt 0.500 0.162 0.296 (multiplicity 4)
5 Pb 0.500 0.000 0.050 (multiplicity 2)
6 Pb 0.500 0.127 0.664 (multiplicity 4)

Properties
Mass density in g/cm3: 11.3
E in Ry/atom: -0.4223

[5]
## LaHoZn2As2O2 (PBE)

Data for a relaxed LaHoZn2As2O2 crystal.

Cell: 4.013 4.013 8.965 Å, 90.00 90.00 90.00°
Space group P4mm (No. 99)
One atom of each set of equivalent atoms:
1 La 0.000 0.000 0.000 (multiplicity 1)
2 Ho 0.500 0.500 0.256 (multiplicity 1)
3 Zn 0.000 0.500 0.632 (multiplicity 2)
4 As 0.000 0.000 0.454 (multiplicity 1)
5 As 0.500 0.500 0.812 (multiplicity 1)
6 O 0.000 0.500 0.143 (multiplicity 2)

Properties
Mass density in g/cm3: 7.1
E in Ry/atom: -0.4232

[6]
## AsW4AuC2 (PBE)

Data for a relaxed AsW4AuC2 crystal.

Cell: 3.1651 3.1651 12.8623 Å, 90.00 90.00 120.00°
Space group P-6m2 (No. 187)
One atom of each set of equivalent atoms:
1 As 0.0000 0.0000 0.0000 (multiplicity 1)
2 W 0.0000 0.0000 0.3243 (multiplicity 2)
3 W 0.6667 0.3333 0.1521 (multiplicity 2)
4 Au 0.6667 0.3333 0.5000 (multiplicity 1)
5 C 0.3333 0.6667 0.2422 (multiplicity 2)

Properties
Mass density in g/cm3: 15.3
E in Ry/atom: -0.7035

[7]
## CsHgPO (PBE)

Data for a relaxed CsHgPO crystal.

Cell: 4.965 4.965 8.742 Å, 90.00 90.00 90.00°
Space group P4/nmm (No. 129, origin choice 2)
One atom of each set of equivalent atoms:
1 Cs 0.250 0.750 0.000 (multiplicity 2)
2 Hg 0.250 0.250 0.466 (multiplicity 2)
3 P 0.250 0.250 0.751 (multiplicity 2)
4 O 0.250 0.750 0.500 (multiplicity 2)

Properties
Mass density in g/cm3: 5.9
ΔE to the lowest computed polymorph in eV per atom: 0.714
E in Ry/atom: -0.1635

[8]
## UReAs (PBE)

Data for a relaxed UReAs crystal.

Cell: 6.345 6.345 6.345 Å, 90.00 90.00 90.00°
Space group F-43m (No. 216)
One atom of each set of equivalent atoms:
1 U 0.000 0.000 0.000 (multiplicity 4)
2 Re 0.250 0.250 0.250 (multiplicity 4)
3 As 0.000 0.000 0.500 (multiplicity 4)

Properties
Mass density in g/cm3: 13.0
ΔE to the lowest computed polymorph in eV per atom: 0.000
E in Ry/atom: -0.6782

[9]
## Ho3Zn3Ir2Au (PBE)

Data for a relaxed Ho3Zn3Ir2Au crystal.

Cell: 7.2930 7.2930 3.8118 Å, 90.00 90.00 120.00°
Space group P-62m (No. 189)
One atom of each set of equivalent atoms:
1 Ho 0.0000 0.5911 0.0000 (multiplicity 3)
2 Zn 0.0000 0.2672 0.5000 (multiplicity 3)
3 Ir 0.3333 0.6667 0.5000 (multiplicity 2)
4 Au 0.0000 0.0000 0.0000 (multiplicity 1)

Properties
Mass density in g/cm3: 12.0
Formation energy in eV per atom: -0.716
E in Ry/atom: -0.3670

[10]
## MgCdTeO (PBE)

Data for a relaxed MgCdTeO crystal.

Cell: 4.239 4.239 10.404 Å, 90.00 90.00 90.00°
Space group P4/nmm (No. 129, origin choice 2)
One atom of each set of equivalent atoms:
1 Mg 0.250 0.250 0.126 (multiplicity 2)
2 Cd 0.250 0.250 0.561 (multiplicity 2)
3 Te 0.250 0.250 0.849 (multiplicity 2)
4 O 0.250 0.750 0.500 (multiplicity 2)

Properties
Mass density in g/cm3: 5.0
ΔE to the lowest computed polymorph in eV per atom: 0.591
E in Ry/atom: -0.2474

[11]
## CsAgPt (PBE)

Data for a relaxed CsAgPt crystal.

Cell: 7.331 7.331 7.331 Å, 90.00 90.00 90.00°
Space group F-43m (No. 216)
One atom of each set of equivalent atoms:
1 Cs 0.000 0.000 0.000 (multiplicity 4)
2 Ag 0.250 0.250 0.750 (multiplicity 4)
3 Pt 0.250 0.250 0.250 (multiplicity 4)

Properties
Mass density in g/cm3: 7.3
ΔE to the lowest computed polymorph in eV per atom: 0.560
E in Ry/atom: -0.1596

[12]
## LuNbB2 (PBE)

Data for a relaxed LuNbB2 crystal.

Cell: 6.033 6.033 6.033 Å, 90.00 90.00 90.00°
Space group F-43m (No. 216)
One atom of each set of equivalent atoms:
1 Lu 0.000 0.000 0.000 (multiplicity 4)
2 Nb 0.250 0.250 0.750 (multiplicity 4)
3 B 0.000 0.000 0.500 (multiplicity 4)
4 B 0.250 0.250 0.250 (multiplicity 4)

Properties
Mass density in g/cm3: 8.8
E in Ry/atom: -0.4134